Compound: Ce3FeH6
Source: Alexandria
Functional: PBE
Structure: relaxed

Lattice parameters (Å, degrees): 4.5272 7.5473 7.5473 101.37 90.00 90.00
Sites, in units of the cell vectors:
H1 0.6533 0.9552 0.0448
Fe1 0.0212 0.1750 0.8250
H2 0.2235 0.6544 0.6461
Ce1 0.4806 0.9248 0.6969
H3 0.2235 0.3539 0.3456
Fe2 0.5212 0.8250 0.1750
H4 0.6375 0.6123 0.1300
H5 0.6375 0.8700 0.3877
Ce2 0.9577 0.6178 0.3822
H6 0.7235 0.6461 0.6544
H7 0.1375 0.3877 0.8700
Ce3 0.4806 0.3031 0.0752
Ce4 0.4577 0.3822 0.6178
H8 0.6700 0.2048 0.7952
Ce5 0.9806 0.0752 0.3031
H9 0.1700 0.7952 0.2048
H10 0.1533 0.0448 0.9552
H11 0.7235 0.3456 0.3539
H12 0.1375 0.1300 0.6123
Ce6 0.9806 0.6969 0.9248

Properties
Electronic total energy in eV per cell: -98.73
D(E_F) in states/eV/cell: 30.3
Symmetry: No. 36